BaCaAc2 | PBE-GGA | relaxed

Unit cell a=9.1248 b=9.1248 c=9.1248 alpha=90.00 beta=90.00 gamma=90.00
Last column: nearest neighbours and their distance in Å.
Space group Fm-3m (No. 225)
Symmetry-distinct sites (fractional):
Ba: 0.0000 0.0000 0.0000 [4 per cell]  8 Ac 3.95
Ca: 0.0000 0.0000 0.5000 [4 per cell]  8 Ac 3.95
Ac: 0.2500 0.2500 0.2500 [8 per cell]  4 Ba 3.95, 4 Ca 3.95

Calculated values
- distance to the lowest polymorph of the same formula (eV per atom) = 0.0876
- formation energy (eV per atom) = 0.13